1.
Entry from Alexandria via LeMat-Bulk: a relaxed Er2NpAg3Se6 crystal (GGA-PBE).

Calculated values
The value obtained for the total magnetization is 4.00 μB per formula unit. For the uncorrected formation energy, the calculation gives -11.96 eV per formula unit. Its total energy is -63.5 eV/f.u.

Cell lengths 17.6370, 4.1798, 8.0131 Å; angles 90.00, 99.73, 90.00 degrees
Closest atoms and distances in Å follow each position.
Space group C2/m (No. 12)
Symmetry-distinct sites (fractional):
Er (0.1673, 0.0000, 0.3434)  6 Se 2.84-2.87
Np (0.0000, 0.5000, 0.0000)  6 Se 2.91-2.95
Ag (0.0000, 0.5000, 0.5000)  6 Se 2.88-2.95
Ag (0.1576, 0.0000, 0.8582)  6 Se 2.82-3.04
Se (0.0028, 0.0000, 0.2534)  3 Ag 2.82-2.88, 1 Er 2.87, 2 Np 2.91
Se (0.1689, 0.5000, 0.0984)  3 Ag 2.83-3.02, 2 Er 2.87, 1 Np 2.95
Se (0.1692, 0.5000, 0.5882)  3 Er 2.84-2.86, 3 Ag 2.95-3.04


2.
Entry from Alexandria via LeMat-Bulk: a relaxed Er2AgO crystal (GGA-PBE).

Calculated values
The value obtained for the total magnetization is 0.00 μB per formula unit. For the uncorrected formation energy, the calculation gives -4.40 eV per formula unit. Its total energy is -21.3 eV/f.u.

Cell lengths 3.3359, 3.3359, 25.9110 Å; angles 90.00, 90.00, 120.00 degrees
Closest atoms and distances in Å follow each position.
Space group R-3m (No. 166, hexagonal axes)
Symmetry-distinct sites (fractional):
Er (0.0000, 0.0000, 0.1131)  3 O 2.37
Ag (0.0000, 0.0000, 0.0000)  2 Er 2.93
O (0.0000, 0.0000, 0.5000)  6 Er 2.37


total magnetization of number 2 (Er2AgO)? 0.00 μB per formula unit